No. 1
VASP calculation (PBE) on CePmTc after structural relaxation.

**Energy of formation from the pure elements**: -0.13 eV/f.u.
**Uncorrected energy**: -7.06 eV per atom
**Distance to the lowest polymorph of the same formula**: 0.00 eV per formula unit

The structure in CIF format:
```
data_CePmTc
_cell_length_a 4.8548
_cell_length_b 5.1577
_cell_length_c 6.5562
_cell_angle_alpha 90.00
_cell_angle_beta 99.63
_cell_angle_gamma 90.00
_space_group_name_H-M_alt 'P 1 21/m 1'
_space_group_IT_number 11
loop_
_space_group_symop_operation_xyz
'x,y,z'
'-x,-y,-z'
'-x,y+1/2,-z'
'x,-y+1/2,z'
loop_
_atom_site_label
_atom_site_fract_x
_atom_site_fract_y
_atom_site_fract_z
Ce1 0.0705 0.2500 0.3118
Pm1 0.4214 0.2500 0.8340
Tc1 0.3585 0.7500 0.5756
```

=====

No. 2
VASP calculation (PBE) on CaHI3 after structural relaxation.

**Uncorrected energy**: -2.31 eV per atom
**Distance to the lowest polymorph of the same formula**: 0.00 eV per formula unit

The structure in CIF format:
```
data_CaHI3
_cell_length_a 6.1567
_cell_length_b 6.1567
_cell_length_c 6.1567
_cell_angle_alpha 90.00
_cell_angle_beta 90.00
_cell_angle_gamma 90.00
_space_group_name_H-M_alt 'P m -3 m'
_space_group_IT_number 221
_space_group_name_Hall '-P 4 2 3'
loop_
_atom_site_label
_atom_site_fract_x
_atom_site_fract_y
_atom_site_fract_z
Ca1 0.0000 0.0000 0.0000
H1 0.5000 0.5000 0.5000
I1 0.0000 0.0000 0.5000
```

=====

No. 3
VASP calculation (PBE) on Sn3MoPb after structural relaxation.

**Energy of formation from the pure elements**: 1.95 eV/f.u.
**Uncorrected energy**: -4.92 eV per atom
**Distance to the lowest polymorph of the same formula**: 0.00 eV per formula unit

The structure in CIF format:
```
data_Sn3MoPb
_cell_length_a 5.3100
_cell_length_b 5.3100
_cell_length_c 5.3100
_cell_angle_alpha 90.00
_cell_angle_beta 90.00
_cell_angle_gamma 90.00
_space_group_name_H-M_alt 'P m -3 m'
_space_group_IT_number 221
_space_group_name_Hall '-P 4 2 3'
loop_
_atom_site_label
_atom_site_fract_x
_atom_site_fract_y
_atom_site_fract_z
Sn1 0.0000 0.0000 0.5000
Mo1 0.0000 0.0000 0.0000
Pb1 0.5000 0.5000 0.5000
```

=====

No. 4
VASP calculation (PBE) on La2TbIn after structural relaxation.

**Energy of formation from the pure elements**: -1.11 eV/f.u.
**Uncorrected energy**: -4.58 eV per atom
**Distance to the lowest polymorph of the same formula**: 0.00 eV per formula unit

The structure in CIF format:
```
data_La2TbIn
_cell_length_a 4.9296
_cell_length_b 4.9296
_cell_length_c 5.1345
_cell_angle_alpha 90.00
_cell_angle_beta 90.00
_cell_angle_gamma 90.00
_space_group_name_H-M_alt 'P 4/m m m'
_space_group_IT_number 123
_space_group_name_Hall '-P 4 2'
loop_
_atom_site_label
_atom_site_fract_x
_atom_site_fract_y
_atom_site_fract_z
La1 0.0000 0.5000 0.0000
Tb1 0.0000 0.0000 0.5000
In1 0.5000 0.5000 0.5000
```